Pm15Tm4In (GGA-PBE, optimized geometry); space group = P4/mmm; ΔH_f (0 K) = -38 meV/atom; raw total energy = -92.643 eV per cell
1.0
5.066 0.000 0.000
0.000 5.066 0.000
0.000 0.000 25.488
Tm Pm In
4 15 1
Direct
0.000 0.000 0.802
0.000 0.000 0.400
0.000 0.000 0.198
0.000 0.000 0.600
0.000 0.500 0.500
0.000 0.500 0.701
0.500 0.500 0.399
0.500 0.000 0.701
0.500 0.500 0.802
0.000 0.500 0.299
0.500 0.000 0.097
0.500 0.500 0.601
0.500 0.500 0.198
0.500 0.000 0.299
0.000 0.500 0.097
0.500 0.000 0.500
0.500 0.000 0.903
0.500 0.500 0.000
0.000 0.500 0.903
0.000 0.000 0.000

***

Cr2TcRu (GGA-PBE, optimized geometry); space group = Imm2; ΔH_f (0 K) = 88 meV/atom; raw total energy = -38.535 eV per cell
1.0
4.947 0.003 -0.002
2.275 4.394 0.002
-3.129 -2.989 2.397
Cr Ru Tc
2 1 1
Direct
0.981 0.981 0.000
0.769 0.269 0.500
0.511 0.511 0.000
0.238 0.738 0.500

***

FePd7 (GGA-PBE, optimized geometry); space group = I4/mmm; ΔH_f (0 K) = -72 meV/atom; raw total energy = -45.386 eV per cell
1.0
-0.748 3.520 -1.561
-2.490 -1.655 -2.539
-4.243 0.080 7.140
Pd Fe
7 1
Direct
0.749 0.749 0.498
0.121 0.621 0.241
0.379 0.879 0.759
0.621 0.121 0.241
0.251 0.251 0.502
0.879 0.379 0.759
0.500 0.500 0.000
0.000 0.000 0.000

***

CaPr6Nd8 (GGA-PBE, optimized geometry); space group = R-3; ΔH_f (0 K) = 137 meV/atom; raw total energy = -66.763 eV per cell
1.0
7.935 -0.306 2.981
1.960 7.695 2.981
-0.410 -0.306 8.467
Nd Pr Ca
8 6 1
Direct
0.382 0.054 0.860
0.231 0.231 0.231
0.860 0.382 0.054
0.946 0.140 0.618
0.618 0.946 0.140
0.054 0.860 0.382
0.769 0.769 0.769
0.140 0.618 0.946
0.379 0.831 0.572
0.572 0.379 0.831
0.831 0.572 0.379
0.169 0.428 0.621
0.428 0.621 0.169
0.621 0.169 0.428
0.000 0.000 0.000